1.
DFT (PBE-GGA) results for crystalline HfTi4In at its relaxed geometry.

## Properties
VASP energy ... -44.3 eV/cell
Total magnetic moment ... 0.0 Bohr magnetons per cell
Energy relative to the lowest polymorph listed for this composition ... 0.0 meV/atom
Space-group type ... No. 12
ΔE_f ... -0.009 eV/atom

a b c (Å): 4.9109 4.9310 5.3118
angles (deg): 62.34 85.20 79.61
Positions (direct):
Hf1 0.5000 0.5000 0.0000
Ti1 0.0000 0.3262 0.3477
Ti2 0.5000 0.1784 0.6431
Ti3 0.0000 0.6738 0.6523
Ti4 0.5000 0.8216 0.3569
In1 0.0000 0.0000 0.0000

=====

2.
DFT (PBE-GGA) results for crystalline Tb3ZnRh8 at its relaxed geometry.

## Properties
VASP energy ... -80.9 eV/cell
Total magnetic moment ... 0.0 Bohr magnetons per cell
Space-group type ... No. 160
ΔE_f ... -0.574 eV/atom

a b c (Å): 5.2881 5.2881 9.1835
angles (deg): 73.27 73.27 60.00
Positions (direct):
Tb1 0.6239 0.6239 0.1284
Tb2 0.0069 0.0069 0.9793
Tb3 0.4946 0.4946 0.5161
Zn1 0.1305 0.1305 0.6085
Rh1 0.5629 0.0622 0.8120
Rh2 0.0613 0.5603 0.3171
Rh3 0.5629 0.5629 0.8120
Rh4 0.0613 0.0613 0.3171
Rh5 0.8115 0.8115 0.5656
Rh6 0.3117 0.3117 0.0649
Rh7 0.0622 0.5629 0.8120
Rh8 0.5603 0.0613 0.3171

=====

3.
DFT (PBE-GGA) results for crystalline Pm5Ni2Rh at its relaxed geometry.

## Properties
VASP energy ... -90.8 eV/cell
Total magnetic moment ... 0.0 Bohr magnetons per cell
Space-group type ... No. 140
ΔE_f ... -0.344 eV/atom

a b c (Å): 7.2675 7.2675 9.0328
angles (deg): 113.72 113.72 90.00
Positions (direct):
Pm1 0.5282 0.6833 0.7115
Pm2 0.8167 0.9718 0.2885
Pm3 0.0000 0.0000 0.0000
Pm4 0.5000 0.5000 0.0000
Pm5 0.1833 0.0282 0.7115
Pm6 0.6833 0.1833 0.7115
Pm7 0.0282 0.5282 0.7115
Pm8 0.3167 0.8167 0.2885
Pm9 0.9718 0.4718 0.2885
Pm10 0.4718 0.3167 0.2885
Ni1 0.1197 0.3803 0.0000
Ni2 0.6197 0.1197 0.0000
Ni3 0.3803 0.8803 0.0000
Ni4 0.8803 0.6197 0.0000
Rh1 0.7500 0.7500 0.5000
Rh2 0.2500 0.2500 0.5000